# YRePt

Crystalline YRePt at its relaxed geometry (GGA-PBE, the Alexandria database).

Its excess energy over the best structure of this formula in the dataset is 0.4631 eV/atom.

a b c (Å): 2.9449 2.9449 7.3175
angles (deg): 90.00 90.00 120.00
Space group P3m1 (No. 156)
Unique sites:
Y (0.0000, 0.0000, 0.0000) [1 per cell]
Re (0.3333, 0.6667, 0.6433) [1 per cell]
Pt (0.6667, 0.3333, 0.3465) [1 per cell]